{"formula": "LaTb2C", "functional": "PBE-GGA", "state": "relaxed", "lattice_angstrom": [[-1.8103, -1.1130, 2.8420], [-2.1230, -2.8329, -0.2462], [6.3491, -7.2770, 3.4098]], "species": ["Tb", "Tb", "La", "C"], "fractional_positions": [[0.8787, 0.8787, 0.3640], [0.1213, 0.1213, 0.6360], [0.0000, 0.0000, 0.0000], [0.5000, 0.5000, 0.5000]], "magnetic_moment_mub_per_fu": 0.3, "crystal_system": "trigonal", "rho_kg_m3": 7113, "dos_ef_per_ev_atom": 1.20, "formation_enthalpy_0k_kj_per_mol_atoms": -9.8}